This record from Alexandria describes an optimized crystal structure of PmDy9Th2. The functional is GGA-PBE.

Output
**ΔE_f**: 0.0304 eV per atom
**Distance to the lowest polymorph of the same formula**: 0.0 kJ per mole of atoms
**Crystal system**: tetragonal
**SG**: P4/mmm
**D(E_F)**: 1.39 states/eV/atom

The structure in POSCAR format:
```
PmDy9Th2
1.0
5.0288 0.0000 0.0000
0.0000 5.0288 0.0000
0.0000 0.0000 15.0753
Pm Dy Th
1 9 2
Direct
0.0000 0.0000 0.0000
0.0000 0.5000 0.1698
0.0000 0.5000 0.5000
0.0000 0.5000 0.8302
0.5000 0.0000 0.1698
0.5000 0.0000 0.5000
0.5000 0.0000 0.8302
0.5000 0.5000 0.0000
0.5000 0.5000 0.3336
0.5000 0.5000 0.6664
0.0000 0.0000 0.3344
0.0000 0.0000 0.6656
```